1.
A geometry-optimized Rb2PaBr5 structure, computed with PBE-GGA.

Cell and atoms, written as POSCAR:
```
Rb2PaBr5
1.0
10.3273 0.0000 0.0000
0.0000 13.7952 0.0000
0.0000 0.0000 4.3519
Rb Pa Br
4 2 10
Direct
0.0860 0.1667 0.0000
0.4140 0.6667 0.0000
0.5860 0.3333 0.0000
0.9140 0.8333 0.0000
0.0000 0.5000 0.5000
0.5000 0.0000 0.5000
0.0000 0.0000 0.5000
0.1265 0.6860 0.5000
0.1689 0.4299 0.0000
0.3311 0.9299 0.0000
0.3735 0.1860 0.5000
0.5000 0.5000 0.5000
0.6265 0.8140 0.5000
0.6689 0.0701 0.0000
0.8311 0.5701 0.0000
0.8735 0.3140 0.5000
```

energy relative to the elements, uncorrected	-1.51	eV/atom
energy	-3.983	eV per atom
mass density	4.29	Mg/m³
M_tot	4.0	Bohr magnetons per cell



2.
A geometry-optimized Rb2PaBr8 structure, computed with PBE-GGA.

Cell and atoms, written as POSCAR:
```
Rb2PaBr8
1.0
11.7336 -2.5988 0.0000
11.7336 2.5988 0.0000
-2.0885 0.0000 6.7790
Rb Pa Br
2 1 8
Direct
0.1776 0.1776 0.1916
0.8224 0.8224 0.8084
0.5000 0.5000 0.5000
0.0217 0.0217 0.3062
0.2247 0.2247 0.7635
0.3860 0.3860 0.5410
0.4305 0.4305 0.1128
0.5695 0.5695 0.8872
0.6140 0.6140 0.4590
0.7753 0.7753 0.2365
0.9783 0.9783 0.6938
```

energy relative to the lowest polymorph listed for this composition	122	meV per atom
energy relative to the elements, uncorrected	-1.26	eV/atom
energy	-3.517	eV per atom
mass density	4.18	Mg/m³
M_tot	0.8	Bohr magnetons per cell